Here is VZnFe2P after structural relaxation from Alexandria via LeMat-Bulk. Energies are from PBE.

- formation energy from the elements (meV/atom) = 1575.3
- calculated total energy (eV per cell) = -24.9

```
VZnFe2P
1.0
-1.2486 0.7741 -4.0055
1.8285 -3.5909 -1.2639
-3.6375 -2.1080 0.7265
Fe Zn P V
2 1 1 1
Cartesian
-1.8187 -1.0540 0.3633
-0.6243 0.3870 -2.0028
0.0000 0.0000 0.0000
0.9143 -1.7954 -0.6320
-1.5288 -2.4624 -2.2715
```


Here is VZnFeP2 after structural relaxation from Alexandria via LeMat-Bulk. Energies are from PBE.

- formation energy from the elements (meV/atom) = 519.7
- calculated total energy (eV per cell) = -27.1

```
VZnFeP2
1.0
4.1882 0.0000 0.0000
0.0000 4.5765 0.0000
0.0000 0.0000 4.1882
Fe Zn P V
1 1 2 1
Cartesian
0.0000 0.0000 0.0000
2.0941 2.2882 2.0941
0.0000 0.0000 2.0941
2.0941 0.0000 0.0000
0.0000 2.2882 0.0000
```


Here is FePW2 after structural relaxation from Alexandria via LeMat-Bulk. Energies are from PBE.

- formation energy from the elements (meV/atom) = 66.6
- calculated total energy (eV per cell) = -39.5

```
FePW2
1.0
-0.0800 -2.6664 -0.7695
2.7224 0.2587 0.4795
-1.0143 -1.9322 6.8007
Fe W P
1 2 1
Cartesian
-0.5539 -1.0553 3.7141
-0.9819 -1.8705 6.5834
1.0452 -1.7297 1.7057
0.5973 -2.5828 4.7084
```


Here is FeP4W after structural relaxation from Alexandria via LeMat-Bulk. Energies are from PBE.

- formation energy from the elements (meV/atom) = -125.1
- ΔE to the lowest computed polymorph (eV per atom) = 0.000
- calculated total energy (eV per cell) = -87.6

```
FeP4W
1.0
-2.0781 -2.2167 -5.8771
5.0413 0.5098 -1.9749
1.2234 -5.2501 1.5476
P W Fe
8 2 2
Cartesian
2.7861 -0.9828 -2.9798
4.3228 -3.2159 -1.7601
1.4005 -5.9741 -3.3245
2.4391 -1.9477 -6.1312
1.5469 -2.5403 -1.9542
1.7475 -5.0092 -0.1731
-0.1362 -3.7410 -4.5442
2.6397 -4.4166 -4.3501
-0.9528 -5.9326 -4.1288
0.0981 -1.5341 -0.2006
2.6515 -4.5218 -2.0515
1.5351 -2.4352 -4.2528
```


Here is Fe2P2W after structural relaxation from Alexandria via LeMat-Bulk. Energies are from PBE.

- formation energy from the elements (meV/atom) = -214.7
- ΔE to the lowest computed polymorph (eV per atom) = 0.000
- calculated total energy (eV per cell) = -83.5

```
Fe2P2W
1.0
6.6256 0.0000 0.0000
0.0000 6.6256 0.0000
0.0000 0.0000 2.6481
Fe P W
4 4 2
Cartesian
5.6756 2.3628 1.3240
2.3628 0.9500 1.3240
0.9500 4.2627 1.3240
4.2627 5.6756 1.3240
4.3275 1.0147 0.0000
2.2981 5.6109 0.0000
5.6109 4.3275 0.0000
1.0147 2.2981 0.0000
0.0000 0.0000 0.0000
3.3128 3.3128 0.0000
```


Here is FePW3 after structural relaxation from Alexandria via LeMat-Bulk. Energies are from PBE.

- formation energy from the elements (meV/atom) = 1573.1
- ΔE to the lowest computed polymorph (eV per atom) = 0.329
- calculated total energy (eV per cell) = -44.9

```
FePW3
1.0
-3.6339 -0.3679 -2.5628
0.5386 -4.4274 -0.1281
-2.5325 -0.4137 3.6502
W P Fe
3 1 1
Cartesian
0.2693 -2.2137 -0.0641
-1.2662 -0.2069 1.8251
-1.8169 -0.1839 -1.2814
-2.8139 -2.6045 0.4796
0.0000 0.0000 0.0000
```


Here is FeP2W after structural relaxation from Alexandria via LeMat-Bulk. Energies are from PBE.

- formation energy from the elements (meV/atom) = -393.8
- calculated total energy (eV per cell) = -67.6

```
FeP2W
1.0
-1.0303 -3.0021 0.0768
-0.0901 -0.1098 -5.4981
5.7130 -1.9621 -0.0545
P Fe W
4 2 2
Cartesian
0.8635 -0.3932 -3.7843
4.7707 -1.6648 -1.0721
1.1345 -2.1124 -1.7262
3.4458 -2.9766 -4.4977
4.8305 -3.4065 -2.7268
-0.2819 -1.7210 -5.4275
2.5487 -0.8756 -0.0335
3.1189 -1.1418 -2.7884
```


Here is FePW after structural relaxation from Alexandria via LeMat-Bulk. Energies are from PBE.

- formation energy from the elements (meV/atom) = 110.2
- calculated total energy (eV per cell) = -26.5

```
FePW
1.0
-1.1597 0.8364 -2.3555
1.7339 -2.1416 -0.0023
-4.5428 -3.6788 0.9302
P W Fe
1 1 1
Cartesian
-1.5771 -1.2754 -1.2881
-2.2593 -3.6017 -0.1665
-0.1322 -0.1070 0.0271
```